NdEr3Cl | PBE | optimized geometry

The uncorrected energy is -22.44 eV per cell.

It has space group Pm-3m (No. 221), with a = 5.269 Å, b = 5.269 Å, c = 5.269 Å, α = 90.00°, β = 90.00° and γ = 90.00°. The inequivalent atoms are Nd at (0.000, 0.000, 0.000), Er at (0.000, 0.500, 0.500) and Cl at (0.500, 0.500, 0.500).